Here is a PBEsol-optimized structure of Na3SrGe from Alexandria via LeMat-Bulk. Energies are from SCAN.

Values from the calculation:
E_form in eV per atom: 0.0878
Electronic total energy in eV/cell: -53.569
SG: No. 221
Fermi-level density of states in states/eV per atom: 0.379

Cell: 5.608 5.608 5.608 Å, 90.00 90.00 90.00°
Element x y z (fractional)
Na: 0.000 0.000 0.500
Na: 0.000 0.500 0.000
Na: 0.500 0.000 0.000
Sr: 0.500 0.500 0.500
Ge: 0.000 0.000 0.000

=====

Here is a PBEsol-optimized structure of YSiHg2S from Alexandria via LeMat-Bulk. Energies are from SCAN.

Values from the calculation:
Electronic total energy in eV/cell: -179.294
SG: No. 123
Fermi-level density of states in states/eV per atom: 0.894

Cell: 5.573 5.573 5.394 Å, 90.00 90.00 90.00°
Element x y z (fractional)
Y: 0.000 0.000 0.000
Si: 0.000 0.000 0.500
Hg: 0.000 0.500 0.000
Hg: 0.500 0.000 0.000
S: 0.500 0.500 0.500